The following is a PBE calculation of a geometry-optimized Ba3RuO8 structure, from Alexandria.

The calculation puts the total DFT energy (no corrections) at -139.14 eV/cell. The uncorrected formation energy comes out at -1239 meV per atom.

It has space group I4/mmm (No. 139), with a = 5.9530 Å, b = 5.9530 Å, c = 11.5912 Å, α = 90.00°, β = 90.00° and γ = 90.00°. Symmetry generates all atoms from Ba at (0.0000, 0.0000, 0.0000), Ba at (0.0000, 0.5000, 0.2500), Ru at (0.0000, 0.0000, 0.5000) and O at (0.1990, 0.1990, 0.3971).